No. 1
{
  "formula": "Zr3PbS",
  "functional": "PBE-GGA",
  "state": "relaxed",
  "volume_a3_per_atom": 22.417,
  "formation_energy_uncorrected_ev_per_atom": -0.508,
  "de_polymorph_ev_per_fu": 0.00,
  "lattice_angstrom": [[-2.0660, -4.3030, 0.8249], [4.2285, -2.9134, -4.6070], [2.3475, 0.2463, 7.1640]],
  "species": ["Zr", "Zr", "Zr", "Zr", "Zr", "Zr", "Pb", "Pb", "S", "S"],
  "fractional_positions": [[0.5000, 0.2905, 0.0000], [0.0000, 0.8738, 0.7476], [0.5000, 0.7095, 0.0000], [0.5000, 0.5000, 0.5000], [0.0000, 0.1262, 0.2524], [0.5000, 0.0000, 0.5000], [0.0000, 0.6361, 0.2722], [0.0000, 0.3639, 0.7278], [0.5000, 0.1115, 0.2231], [0.5000, 0.8885, 0.7769]]
}

---

No. 2
{
  "formula": "ZrPbS3",
  "functional": "PBE-GGA",
  "state": "relaxed",
  "volume_a3_per_atom": 25.093,
  "formation_energy_uncorrected_ev_per_atom": -1.125,
  "de_polymorph_ev_per_fu": 0.00,
  "lattice_angstrom": [[-0.1186, -3.7405, -0.7327], [2.6114, 1.6415, -8.8025], [13.5380, -1.1730, 3.7976]],
  "species": ["Zr", "Zr", "Zr", "Zr", "Pb", "Pb", "Pb", "Pb", "S", "S", "S", "S", "S", "S", "S", "S", "S", "S", "S", "S"],
  "fractional_positions": [[0.2500, 0.1642, 0.9525], [0.7500, 0.8358, 0.0475], [0.2500, 0.6642, 0.5475], [0.7500, 0.3358, 0.4525], [0.2500, 0.5311, 0.1711], [0.7500, 0.4689, 0.8289], [0.2500, 0.0311, 0.3289], [0.7500, 0.9689, 0.6711], [0.2500, 0.0080, 0.1052], [0.7500, 0.9920, 0.8948], [0.2500, 0.5080, 0.3948], [0.7500, 0.4920, 0.6052], [0.2500, 0.1722, 0.5117], [0.7500, 0.8278, 0.4883], [0.2500, 0.6722, 0.9883], [0.7500, 0.3278, 0.0117], [0.7500, 0.2317, 0.2865], [0.2500, 0.7683, 0.7135], [0.7500, 0.7317, 0.2135], [0.2500, 0.2683, 0.7865]]
}

---

No. 3
{
  "formula": "ZrPbS2",
  "functional": "PBE-GGA",
  "state": "relaxed",
  "volume_a3_per_atom": 26.779,
  "formation_energy_uncorrected_ev_per_atom": -0.710,
  "lattice_angstrom": [[3.2427, -1.8722, 0.0000], [0.0000, 3.7444, 0.0000], [0.0000, 0.0000, 8.8219]],
  "species": ["Pb", "S", "S", "Zr"],
  "fractional_positions": [[0.0000, 0.0000, 0.9465], [0.3333, 0.6667, 0.7354], [0.6667, 0.3333, 0.3124], [0.3333, 0.6667, 0.4607]]
}

---

No. 4
{
  "formula": "ZrPbS2",
  "functional": "PBE-GGA",
  "state": "relaxed",
  "volume_a3_per_atom": 28.532,
  "formation_energy_uncorrected_ev_per_atom": -0.308,
  "lattice_angstrom": [[-4.2603, 5.8017, 4.7953], [-5.6574, 2.3222, 6.1161], [-2.2007, 3.7261, 7.4885]],
  "species": ["Pb", "S", "S", "Zr"],
  "fractional_positions": [[0.5000, 0.5000, 0.5000], [0.9032, 0.9032, 0.9032], [0.0968, 0.0968, 0.0968], [0.0000, 0.0000, 0.0000]]
}

---

No. 5
{
  "formula": "ZrPbS3",
  "functional": "PBE-GGA",
  "state": "relaxed",
  "volume_a3_per_atom": 25.600,
  "formation_energy_uncorrected_ev_per_atom": 0.506,
  "de_polymorph_ev_per_fu": 8.15,
  "lattice_angstrom": [[5.0397, 0.0000, 0.0000], [0.0000, 5.0397, 0.0000], [0.0000, 0.0000, 5.0397]],
  "species": ["Pb", "S", "S", "S", "Zr"],
  "fractional_positions": [[0.0000, 0.0000, 0.0000], [0.0000, 0.5000, 0.0000], [0.0000, 0.0000, 0.5000], [0.5000, 0.0000, 0.0000], [0.5000, 0.5000, 0.5000]]
}

---

No. 6
{
  "formula": "ZrPbS2",
  "functional": "PBE-GGA",
  "state": "relaxed",
  "volume_a3_per_atom": 27.288,
  "formation_energy_uncorrected_ev_per_atom": -0.716,
  "lattice_angstrom": [[3.7777, -0.6139, 8.2372], [5.9559, 1.9845, 6.5642], [2.6751, 3.0015, 8.1446]],
  "species": ["Pb", "S", "S", "Zr"],
  "fractional_positions": [[0.0070, 0.0070, 0.0070], [0.1304, 0.1304, 0.1304], [0.6022, 0.6022, 0.6022], [0.5113, 0.5113, 0.5113]]
}

---

No. 7
{
  "formula": "ZrPbS2",
  "functional": "PBE-GGA",
  "state": "relaxed",
  "volume_a3_per_atom": 24.006,
  "formation_energy_uncorrected_ev_per_atom": -0.764,
  "lattice_angstrom": [[-1.7213, -7.1379, 1.8221], [5.7774, -0.1470, 4.8819], [0.0008, -2.5326, 5.7846]],
  "species": ["Pb", "Pb", "S", "S", "S", "S", "Zr", "Zr"],
  "fractional_positions": [[0.7500, 0.7500, 0.5000], [0.2500, 0.2500, 0.5000], [0.8250, 0.3250, 0.0000], [0.1750, 0.6750, 0.0000], [0.3250, 0.1750, 0.0000], [0.6750, 0.8250, 0.0000], [0.7500, 0.2500, 0.5000], [0.2500, 0.7500, 0.5000]]
}

---

No. 8
{
  "formula": "ZrPbS2",
  "functional": "PBE-GGA",
  "state": "relaxed",
  "volume_a3_per_atom": 25.252,
  "formation_energy_uncorrected_ev_per_atom": -1.131,
  "lattice_angstrom": [[0.3878, 9.0898, 1.5794], [3.8667, 8.1894, 1.8036], [2.3719, 8.8119, -1.4122]],
  "species": ["Pb", "S", "S", "Zr"],
  "fractional_positions": [[0.0000, 0.0000, 0.0000], [0.8904, 0.8904, 0.8904], [0.1096, 0.1096, 0.1096], [0.5000, 0.5000, 0.5000]]
}

---

No. 9
{
  "formula": "ZrPbS2",
  "functional": "PBE-GGA",
  "state": "relaxed",
  "volume_a3_per_atom": 25.567,
  "formation_energy_uncorrected_ev_per_atom": -0.900,
  "lattice_angstrom": [[5.0812, 0.0000, 0.0000], [0.0000, 9.9876, 0.0000], [0.0000, 0.0000, 8.0608]],
  "species": ["Pb", "Pb", "Pb", "Pb", "S", "S", "S", "S", "S", "S", "S", "S", "Zr", "Zr", "Zr", "Zr"],
  "fractional_positions": [[0.9470, 0.8470, 0.9269], [0.0530, 0.1530, 0.4269], [0.5530, 0.3470, 0.4269], [0.4470, 0.6530, 0.9269], [0.4940, 0.9028, 0.2240], [0.5060, 0.0972, 0.7240], [0.0060, 0.4028, 0.7240], [0.9940, 0.5972, 0.2240], [0.9493, 0.8522, 0.5750], [0.0507, 0.1478, 0.0750], [0.5507, 0.3522, 0.0750], [0.4493, 0.6478, 0.5750], [0.0502, 0.4057, 0.0240], [0.9498, 0.5943, 0.5240], [0.4498, 0.9057, 0.5240], [0.5502, 0.0943, 0.0240]]
}

---

No. 10
{
  "formula": "ZrPb3S",
  "functional": "PBE-GGA",
  "state": "relaxed",
  "volume_a3_per_atom": 31.237,
  "formation_energy_uncorrected_ev_per_atom": 0.513,
  "de_polymorph_ev_per_fu": 0.00,
  "lattice_angstrom": [[5.3853, 0.0000, 0.0000], [0.0000, 5.3853, 0.0000], [0.0000, 0.0000, 5.3853]],
  "species": ["Pb", "Pb", "Pb", "S", "Zr"],
  "fractional_positions": [[0.0000, 0.5000, 0.0000], [0.0000, 0.0000, 0.5000], [0.5000, 0.0000, 0.0000], [0.0000, 0.0000, 0.0000], [0.5000, 0.5000, 0.5000]]
}

---

No. 11
{
  "formula": "ZrPbS2",
  "functional": "PBE-GGA",
  "state": "relaxed",
  "volume_a3_per_atom": 29.962,
  "formation_energy_uncorrected_ev_per_atom": -0.630,
  "lattice_angstrom": [[6.5567, 0.0000, 0.0000], [0.0000, 6.5567, 0.0000], [3.2784, 3.2784, 5.5755]],
  "species": ["Pb", "Pb", "S", "S", "S", "S", "Zr", "Zr"],
  "fractional_positions": [[0.0000, 0.0000, 0.0000], [0.7500, 0.2500, 0.5000], [0.5578, 0.1250, 0.2500], [0.1922, 0.6250, 0.2500], [0.3750, 0.4422, 0.7500], [0.8750, 0.8078, 0.7500], [0.5000, 0.5000, 0.0000], [0.2500, 0.7500, 0.5000]]
}

---

No. 12
{
  "formula": "Zr3PbS",
  "functional": "PBE-GGA",
  "state": "relaxed",
  "volume_a3_per_atom": 32.053,
  "formation_energy_uncorrected_ev_per_atom": 1.277,
  "de_polymorph_ev_per_fu": 8.93,
  "lattice_angstrom": [[5.4318, 0.0000, 0.0000], [0.0000, 5.4318, 0.0000], [0.0000, 0.0000, 5.4318]],
  "species": ["Pb", "S", "Zr", "Zr", "Zr"],
  "fractional_positions": [[0.0000, 0.0000, 0.0000], [0.5000, 0.5000, 0.5000], [0.0000, 0.5000, 0.0000], [0.0000, 0.0000, 0.5000], [0.5000, 0.0000, 0.0000]]
}

---

No. 13
{
  "formula": "ZrPbS2",
  "functional": "PBE-GGA",
  "state": "relaxed",
  "volume_a3_per_atom": 24.553,
  "formation_energy_uncorrected_ev_per_atom": -1.113,
  "lattice_angstrom": [[-1.0977, 0.8156, 3.3190], [-1.7632, -2.4699, -1.9174], [5.2316, -6.2752, 3.2724]],
  "species": ["Pb", "S", "S", "Zr"],
  "fractional_positions": [[0.3333, 0.6667, 0.4886], [0.3333, 0.6667, 0.8125], [0.6667, 0.3333, 0.1649], [0.0000, 0.0000, 0.9889]]
}

---

No. 14
{
  "formula": "ZrPb3S6",
  "functional": "PBE-GGA",
  "state": "relaxed",
  "volume_a3_per_atom": 25.159,
  "formation_energy_uncorrected_ev_per_atom": -0.605,
  "lattice_angstrom": [[6.8422, 0.0000, 0.0771], [0.0000, 7.3523, 0.0000], [0.2003, 0.0000, 10.0047]],
  "species": ["Zr", "Zr", "Pb", "Pb", "Pb", "Pb", "Pb", "Pb", "S", "S", "S", "S", "S", "S", "S", "S", "S", "S", "S", "S"],
  "fractional_positions": [[0.5000, 0.5000, 0.5000], [0.0000, 0.0000, 0.0000], [0.5203, 0.9223, 0.7690], [0.5000, 0.5000, 0.0000], [0.4797, 0.0777, 0.2310], [0.0203, 0.5777, 0.2690], [0.0000, 0.0000, 0.5000], [0.9797, 0.4223, 0.7310], [0.6838, 0.1734, 0.9543], [0.6716, 0.2052, 0.5723], [0.6264, 0.4569, 0.2582], [0.3736, 0.5431, 0.7418], [0.3284, 0.7948, 0.4277], [0.3162, 0.8266, 0.0457], [0.1838, 0.3266, 0.4543], [0.1716, 0.2948, 0.0723], [0.1264, 0.0431, 0.7582], [0.8736, 0.9569, 0.2418], [0.8284, 0.7052, 0.9277], [0.8162, 0.6734, 0.5457]]
}

---

No. 15
{
  "formula": "ZrPb2S4",
  "functional": "PBE-GGA",
  "state": "relaxed",
  "volume_a3_per_atom": 25.808,
  "formation_energy_uncorrected_ev_per_atom": -0.937,
  "de_polymorph_ev_per_fu": 0.00,
  "lattice_angstrom": [[-1.3024, -2.3563, -2.8201], [2.9331, -5.7491, 3.4490], [-10.8035, -1.6777, 6.3911]],
  "species": ["Zr", "Zr", "Pb", "Pb", "Pb", "Pb", "S", "S", "S", "S", "S", "S", "S", "S"],
  "fractional_positions": [[0.0000, 0.0000, 0.5000], [0.0000, 0.5000, 0.0000], [0.5000, 0.8816, 0.8326], [0.5000, 0.1184, 0.1674], [0.5000, 0.3816, 0.6674], [0.5000, 0.6184, 0.3326], [0.0000, 0.6095, 0.8059], [0.0000, 0.3905, 0.1941], [0.0000, 0.1095, 0.6941], [0.0000, 0.8905, 0.3059], [0.5000, 0.7718, 0.5422], [0.5000, 0.2282, 0.4578], [0.5000, 0.7282, 0.0422], [0.5000, 0.2718, 0.9578]]
}

---

No. 16
{
  "formula": "ZrPbS2",
  "functional": "PBE-GGA",
  "state": "relaxed",
  "volume_a3_per_atom": 25.406,
  "formation_energy_uncorrected_ev_per_atom": -0.968,
  "lattice_angstrom": [[-4.4327, 4.1120, -2.6011], [-2.3801, -1.2730, 2.0438], [4.1688, 12.4834, 12.6303]],
  "species": ["Pb", "Pb", "Pb", "Pb", "S", "S", "S", "S", "S", "S", "S", "S", "Zr", "Zr", "Zr", "Zr"],
  "fractional_positions": [[0.0544, 0.2500, 0.5827], [0.4456, 0.7500, 0.0827], [0.9456, 0.7500, 0.4173], [0.5544, 0.2500, 0.9173], [0.6389, 0.2500, 0.5877], [0.8611, 0.7500, 0.0877], [0.3611, 0.7500, 0.4123], [0.1389, 0.2500, 0.9123], [0.3378, 0.2500, 0.7277], [0.1622, 0.7500, 0.2277], [0.6622, 0.7500, 0.2723], [0.8378, 0.2500, 0.7723], [0.3724, 0.2500, 0.3076], [0.1276, 0.7500, 0.8076], [0.6276, 0.7500, 0.6924], [0.8724, 0.2500, 0.1924]]
}

---

No. 17
{
  "formula": "ZrPbS3",
  "functional": "PBE-GGA",
  "state": "relaxed",
  "volume_a3_per_atom": 25.094,
  "formation_energy_uncorrected_ev_per_atom": -1.073,
  "de_polymorph_ev_per_fu": 0.26,
  "lattice_angstrom": [[-3.4342, -0.9284, -1.3705], [-1.8985, -3.3938, 7.0562], [-2.6902, 7.6548, 1.5558]],
  "species": ["Zr", "Zr", "Pb", "Pb", "S", "S", "S", "S", "S", "S"],
  "fractional_positions": [[0.2500, 0.8367, 0.3545], [0.7500, 0.1633, 0.6455], [0.2500, 0.3827, 0.1899], [0.7500, 0.6173, 0.8101], [0.7500, 0.6401, 0.4070], [0.2500, 0.3599, 0.5930], [0.7500, 0.2990, 0.9418], [0.2500, 0.9429, 0.6726], [0.2500, 0.7010, 0.0582], [0.7500, 0.0571, 0.3274]]
}

---

No. 18
{
  "formula": "ZrPbS2",
  "functional": "PBE-GGA",
  "state": "relaxed",
  "volume_a3_per_atom": 23.876,
  "formation_energy_uncorrected_ev_per_atom": -1.013,
  "lattice_angstrom": [[-14.7541, 1.7554, -2.4881], [14.7419, -3.0358, -0.6435], [-0.6466, -3.4383, 1.4083]],
  "species": ["Pb", "Pb", "S", "S", "S", "S", "Zr", "Zr"],
  "fractional_positions": [[0.0524, 0.9476, 0.2500], [0.9476, 0.0524, 0.7500], [0.2170, 0.7830, 0.2500], [0.7830, 0.2170, 0.7500], [0.8745, 0.1255, 0.2500], [0.1255, 0.8745, 0.7500], [0.3109, 0.6891, 0.2500], [0.6891, 0.3109, 0.7500]]
}

---

No. 19
{
  "formula": "ZrPbS2",
  "functional": "PBE-GGA",
  "state": "relaxed",
  "volume_a3_per_atom": 25.905,
  "formation_energy_uncorrected_ev_per_atom": -0.818,
  "lattice_angstrom": [[-4.4465, 1.2312, -6.5573], [2.5574, 0.1432, -5.3834], [1.9095, -5.4835, 1.3518]],
  "species": ["Pb", "Pb", "S", "S", "S", "S", "Zr", "Zr"],
  "fractional_positions": [[0.7500, 0.2080, 0.7080], [0.2500, 0.7920, 0.2920], [0.3538, 0.1548, 0.1762], [0.1462, 0.6762, 0.6548], [0.6462, 0.8452, 0.8238], [0.8538, 0.3238, 0.3452], [0.7500, 0.7928, 0.2928], [0.2500, 0.2072, 0.7072]]
}

---

No. 20
{
  "formula": "ZrPb3S",
  "functional": "PBE-GGA",
  "state": "relaxed",
  "volume_a3_per_atom": 36.698,
  "formation_energy_uncorrected_ev_per_atom": 0.638,
  "de_polymorph_ev_per_fu": 0.63,
  "lattice_angstrom": [[-1.5435, -4.7495, 2.7112], [1.2973, -3.0547, -4.6127], [5.3128, -0.6340, 1.9140]],
  "species": ["Pb", "Pb", "Pb", "S", "Zr"],
  "fractional_positions": [[0.0000, 0.5000, 0.0000], [0.0000, 0.0000, 0.5000], [0.5000, 0.0000, 0.0000], [0.5000, 0.5000, 0.5000], [0.0000, 0.0000, 0.0000]]
}